The following is a DFT calculation (PBE) of a relaxed NdMgGa2 crystal.

Properties
calculated formation energy = -0.505 eV per atom
final energy = -3.609 eV per atom
magnetization = 0.00 Bohr magnetons per cell
SG = No. 62

Cell: 7.118 4.417 11.587 Å, 90.00 90.00 90.00°
Fractional positions:
Nd (0.144, 0.250, 0.146)
Nd (0.356, 0.750, 0.646)
Nd (0.644, 0.250, 0.354)
Nd (0.856, 0.750, 0.854)
Mg (0.142, 0.250, 0.445)
Mg (0.358, 0.750, 0.945)
Mg (0.642, 0.250, 0.055)
Mg (0.858, 0.750, 0.555)
Ga (0.029, 0.250, 0.670)
Ga (0.167, 0.250, 0.867)
Ga (0.333, 0.750, 0.367)
Ga (0.471, 0.750, 0.170)
Ga (0.529, 0.250, 0.830)
Ga (0.667, 0.250, 0.633)
Ga (0.833, 0.750, 0.133)
Ga (0.971, 0.750, 0.330)